1.
# ZrCuRu2 PBE-GGA optimized geometry
data_ZrCuRu2
_chemical_formula_sum 'Zr2 Cu2 Ru4'
_space_group_name_H-M_alt 'I m m m'
_space_group_IT_number 71
_space_group_name_Hall '-I 2 2'
_cell_length_a 3.173
_cell_length_b 4.582
_cell_length_c 8.597
_cell_angle_alpha 90.00
_cell_angle_beta 90.00
_cell_angle_gamma 90.00
loop_
_atom_site_label
_atom_site_type_symbol
_atom_site_fract_x
_atom_site_fract_y
_atom_site_fract_z
_atom_site_occupancy
Zr1 Zr 0.000 0.000 0.000 1
Cu1 Cu 0.000 0.000 0.500 1
Ru1 Ru 0.000 0.500 0.251 1
# VASP energy	-7.756	eV/atom
# energy of formation from the pure elements	0.043	eV/atom
# density of states at the Fermi level	10.232	states/eV/cell
# M_tot	0.0	μB/f.u.



2.
# InH2Rh PBE-GGA optimized geometry
data_InH2Rh
_chemical_formula_sum 'In3 H6 Rh3'
_space_group_name_H-M_alt 'R -3 m'
_space_group_IT_number 166
_space_group_name_Hall '-R 3 2"'
_cell_length_a 3.1471
_cell_length_b 3.1471
_cell_length_c 15.1317
_cell_angle_alpha 90.00
_cell_angle_beta 90.00
_cell_angle_gamma 120.00
loop_
_atom_site_label
_atom_site_type_symbol
_atom_site_fract_x
_atom_site_fract_y
_atom_site_fract_z
_atom_site_occupancy
In1 In 0.0000 0.0000 0.0000 1
H1 H 0.0000 0.0000 0.1940 1
Rh1 Rh 0.0000 0.0000 0.5000 1
# VASP energy	-4.169	eV/atom
# energy above the lowest structure with this stoichiometry	0.183	eV/atom
# density of states at the Fermi level	4.587	states/eV/cell
# M_tot	0.0	μB/f.u.



3.
# BaCaNd2Hg4 PBE-GGA optimized geometry
data_BaCaNd2Hg4
_chemical_formula_sum 'Ba3 Ca3 Nd6 Hg12'
_space_group_name_H-M_alt 'R -3 m'
_space_group_IT_number 166
_space_group_name_Hall '-R 3 2"'
_cell_length_a 5.4972
_cell_length_b 5.4972
_cell_length_c 27.5111
_cell_angle_alpha 90.00
_cell_angle_beta 90.00
_cell_angle_gamma 120.00
loop_
_atom_site_label
_atom_site_type_symbol
_atom_site_fract_x
_atom_site_fract_y
_atom_site_fract_z
_atom_site_occupancy
Ba1 Ba 0.0000 0.0000 0.0000 1
Ca1 Ca 0.0000 0.0000 0.5000 1
Nd1 Nd 0.0000 0.0000 0.2455 1
Hg1 Hg 0.0000 0.0000 0.1278 1
Hg2 Hg 0.0000 0.0000 0.3824 1
# VASP energy	-2.300	eV/atom
# energy of formation from the pure elements	-0.466	eV/atom
# density of states at the Fermi level	14.616	states/eV/cell
# M_tot	0.0	μB/f.u.



4.
# LaGe2Se4 PBE-GGA optimized geometry
data_LaGe2Se4
_chemical_formula_sum 'La2 Ge4 Se8'
_space_group_name_H-M_alt 'I 4/m'
_space_group_IT_number 87
_space_group_name_Hall '-I 4'
_cell_length_a 7.828
_cell_length_b 7.828
_cell_length_c 6.677
_cell_angle_alpha 90.00
_cell_angle_beta 90.00
_cell_angle_gamma 90.00
loop_
_atom_site_label
_atom_site_type_symbol
_atom_site_fract_x
_atom_site_fract_y
_atom_site_fract_z
_atom_site_occupancy
La1 La 0.000 0.000 0.000 1
Ge1 Ge 0.000 0.500 0.250 1
Se1 Se 0.172 0.304 0.500 1
# VASP energy	-4.612	eV/atom
# energy relative to the elements, uncorrected	-0.60	eV/atom
# density of states at the Fermi level	5.715	states/eV/cell
# M_tot	0.0	μB/f.u.



5.
# Nb2Ni2Hg PBE-GGA optimized geometry
data_Nb2Ni2Hg
_chemical_formula_sum 'Nb4 Ni4 Hg2'
_space_group_name_H-M_alt 'P 4/m b m'
_space_group_IT_number 127
_space_group_name_Hall '-P 4 2ab'
_cell_length_a 7.326
_cell_length_b 7.326
_cell_length_c 2.934
_cell_angle_alpha 90.00
_cell_angle_beta 90.00
_cell_angle_gamma 90.00
loop_
_atom_site_label
_atom_site_type_symbol
_atom_site_fract_x
_atom_site_fract_y
_atom_site_fract_z
_atom_site_occupancy
Nb1 Nb 0.171 0.329 0.000 1
Ni1 Ni 0.122 0.622 0.500 1
Hg1 Hg 0.000 0.000 0.500 1
# VASP energy	-6.457	eV/atom
# energy above the lowest structure with this stoichiometry	0.000	eV/atom
# energy of formation from the pure elements	-0.057	eV/atom
# density of states at the Fermi level	8.647	states/eV/cell
# M_tot	0.0	μB/f.u.



6.
# Rb3BaTa PBE-GGA optimized geometry
data_Rb3BaTa
_chemical_formula_sum 'Rb3 Ba1 Ta1'
_space_group_name_H-M_alt 'P m -3 m'
_space_group_IT_number 221
_space_group_name_Hall '-P 4 2 3'
_cell_length_a 7.372
_cell_length_b 7.372
_cell_length_c 7.372
_cell_angle_alpha 90.00
_cell_angle_beta 90.00
_cell_angle_gamma 90.00
loop_
_atom_site_label
_atom_site_type_symbol
_atom_site_fract_x
_atom_site_fract_y
_atom_site_fract_z
_atom_site_occupancy
Rb1 Rb 0.000 0.000 0.500 1
Ba1 Ba 0.000 0.000 0.000 1
Ta1 Ta 0.500 0.500 0.500 1
# VASP energy	-1.435	eV/atom
# energy above the lowest structure with this stoichiometry	0.560	eV/atom
# energy of formation from the pure elements	1.900	eV/atom
# density of states at the Fermi level	5.995	states/eV/cell
# M_tot	6.0	μB/f.u.



7.
# Ir2PbAu PBE-GGA optimized geometry
data_Ir2PbAu
_chemical_formula_sum 'Ir2 Pb1 Au1'
_space_group_name_H-M_alt 'P m m 2'
_space_group_IT_number 25
_cell_length_a 2.876
_cell_length_b 3.654
_cell_length_c 7.397
_cell_angle_alpha 90.00
_cell_angle_beta 90.00
_cell_angle_gamma 90.00
loop_
_space_group_symop_operation_xyz
'x,y,z'
'-x,-y,z'
'-x,y,z'
'x,-y,z'
loop_
_atom_site_label
_atom_site_type_symbol
_atom_site_fract_x
_atom_site_fract_y
_atom_site_fract_z
_atom_site_occupancy
Ir1 Ir 0.000 0.000 0.000 1
Ir2 Ir 0.500 0.500 0.160 1
Pb1 Pb 0.000 0.000 0.445 1
Au1 Au 0.500 0.500 0.763 1
# VASP energy	-5.798	eV/atom
# energy of formation from the pure elements	0.379	eV/atom
# density of states at the Fermi level	3.653	states/eV/cell
# M_tot	0.0	μB/f.u.



8.
# Ac6Pr4Nd PBE-GGA optimized geometry
data_Ac6Pr4Nd
_chemical_formula_sum 'Ac12 Pr8 Nd2'
_space_group_name_H-M_alt 'I -4 2 m'
_space_group_IT_number 121
_space_group_name_Hall 'I -4 2'
_cell_length_a 6.846
_cell_length_b 6.846
_cell_length_c 20.760
_cell_angle_alpha 90.00
_cell_angle_beta 90.00
_cell_angle_gamma 90.00
loop_
_atom_site_label
_atom_site_type_symbol
_atom_site_fract_x
_atom_site_fract_y
_atom_site_fract_z
_atom_site_occupancy
Ac1 Ac 0.000 0.500 0.000 1
Ac2 Ac 0.200 0.200 0.189 1
Pr1 Pr 0.194 0.194 0.365 1
Nd1 Nd 0.000 0.000 0.500 1
# VASP energy	-4.111	eV/atom
# energy above the lowest structure with this stoichiometry	0.000	eV/atom
# energy of formation from the pure elements	0.301	eV/atom
# density of states at the Fermi level	36.452	states/eV/cell
# M_tot	0.0	μB/f.u.



- Which of these has the lowest density of states at the Fermi level?
  Ir2PbAu